# 1
Entry from Alexandria: an optimized crystal structure of Mg2Al2Rh3 (PBE-GGA).

The space group is C2/m (No. 12) and the conventional cell measures 7.415, 4.284 and 7.520 Å, with angles of 90.00, 109.36 and 90.00 degrees. The distinct sites, in fractional coordinates, are Mg at (0.128, 0.000, 0.384), Al at (0.122, 0.500, 0.865), Rh at (0.000, 0.000, 0.000) and Rh at (0.242, 0.500, 0.225).

As for the density of states at the Fermi level: 4.552 states/eV/cell. The electronic total energy comes out at -5.374 eV/atom.

# 2
Entry from Alexandria: an optimized crystal structure of MgAlRh (PBE-GGA).

The space group is Imm2 (No. 44) and the conventional cell measures 3.068, 3.225 and 9.562 Å, with angles of 90.00, 90.00 and 90.00 degrees. The distinct sites, in fractional coordinates, are Mg at (0.000, 0.000, 0.000), Al at (0.000, 0.000, 0.299) and Rh at (0.000, 0.000, 0.673).

As for the density of states at the Fermi level: 3.013 states/eV/cell. The electronic total energy comes out at -4.853 eV/atom.

# 3
Entry from Alexandria: an optimized crystal structure of MgAl2Rh3 (PBE-GGA).

The space group is P4/mmm (No. 123) and the conventional cell measures 3.024, 3.024 and 9.200 Å, with angles of 90.00, 90.00 and 90.00 degrees. The distinct sites, in fractional coordinates, are Mg at (0.000, 0.000, 0.000), Al at (0.000, 0.000, 0.334), Rh at (0.500, 0.500, 0.181) and Rh at (0.500, 0.500, 0.500).

As for the density of states at the Fermi level: 1.656 states/eV/cell. The electronic total energy comes out at -6.145 eV/atom.

# 4
Entry from Alexandria: an optimized crystal structure of MgAlRh2 (PBE-GGA).

The space group is C2/m (No. 12) and the conventional cell measures 8.225, 2.935 and 5.086 Å, with angles of 90.00, 102.44 and 90.00 degrees. The distinct sites, in fractional coordinates, are Mg at (0.000, 0.000, 0.000), Al at (0.000, 0.500, 0.500) and Rh at (0.241, 0.000, 0.734).

As for the density of states at the Fermi level: 5.238 states/eV/cell. The electronic total energy comes out at -5.538 eV/atom.

# 5
Entry from Alexandria: an optimized crystal structure of Mg3Al20Rh6 (PBE-GGA).

The space group is Fm-3m (No. 225) and the conventional cell measures 12.609, 12.609 and 12.609 Å, with angles of 90.00, 90.00 and 90.00 degrees. The distinct sites, in fractional coordinates, are Mg at (0.000, 0.000, 0.000), Mg at (0.250, 0.250, 0.250), Al at (0.000, 0.176, 0.176), Al at (0.114, 0.114, 0.386) and Rh at (0.000, 0.000, 0.260).

As for the density of states at the Fermi level: 43.973 states/eV/cell. The electronic total energy comes out at -4.698 eV/atom.

# 6
Entry from Alexandria: an optimized crystal structure of Mg3Al9Rh2 (PBE-GGA).

The space group is Immm (No. 71) and the conventional cell measures 4.229, 10.065 and 11.371 Å, with angles of 90.00, 90.00 and 90.00 degrees. The distinct sites, in fractional coordinates, are Mg at (0.000, 0.000, 0.000), Mg at (0.000, 0.000, 0.292), Al at (0.000, 0.287, 0.137), Al at (0.000, 0.368, 0.367), Al at (0.000, 0.500, 0.000) and Rh at (0.000, 0.159, 0.500).

As for the density of states at the Fermi level: 10.117 states/eV/cell. The electronic total energy comes out at -4.111 eV/atom.

# 7
Entry from Alexandria: an optimized crystal structure of MgAl4Rh (PBE-GGA).

The space group is P-1 (No. 2) and the conventional cell measures 5.397, 6.774 and 6.835 Å, with angles of 112.19, 108.36 and 101.24 degrees. The distinct sites, in fractional coordinates, are Mg at (0.209, 0.359, 0.052), Al at (0.081, 0.885, 0.754), Al at (0.159, 0.472, 0.691), Al at (0.405, 0.844, 0.129), Al at (0.496, 0.291, 0.460) and Rh at (0.196, 0.907, 0.421).

As for the density of states at the Fermi level: 3.166 states/eV/cell. The electronic total energy comes out at -4.286 eV/atom. For the excess energy over the best structure of this formula in the dataset, the calculation gives 138 meV per atom.

# 8
Entry from Alexandria: an optimized crystal structure of MgAlRh (PBE-GGA).

The space group is F-43m (No. 216) and the conventional cell measures 6.014, 6.014 and 6.014 Å, with angles of 90.00, 90.00 and 90.00 degrees. The distinct sites, in fractional coordinates, are Mg at (0.000, 0.000, 0.000), Al at (0.000, 0.000, 0.500) and Rh at (0.250, 0.250, 0.750).

As for the density of states at the Fermi level: 3.873 states/eV/cell. The electronic total energy comes out at -4.686 eV/atom.

# 9
Entry from Alexandria: an optimized crystal structure of Mg16Al12Rh (PBE-GGA).

The space group is R3m (No. 160, hexagonal axes) and the conventional cell measures 14.6343, 14.6343 and 9.1860 Å, with angles of 90.00, 90.00 and 120.00 degrees. The distinct sites, in fractional coordinates, are Mg at (0.0000, 0.0000, 0.0000), Mg at (0.0181, 0.3096, 0.2882), Mg at (0.0613, 0.5307, 0.1999), Mg at (0.1748, 0.0874, 0.5034), Mg at (0.2154, 0.4307, 0.7715), Al at (0.0001, 0.1804, 0.8035), Al at (0.0635, 0.1270, 0.2719), Al at (0.0714, 0.5357, 0.7134) and Rh at (0.0000, 0.0000, 0.7192).

As for the density of states at the Fermi level: 34.251 states/eV/cell. The electronic total energy comes out at -2.751 eV/atom.

# 10
Entry from Alexandria: an optimized crystal structure of MgAlRh2 (PBE-GGA).

The space group is I-4m2 (No. 119) and the conventional cell measures 3.698, 3.698 and 8.634 Å, with angles of 90.00, 90.00 and 90.00 degrees. The distinct sites, in fractional coordinates, are Mg at (0.000, 0.000, 0.000), Al at (0.000, 0.500, 0.250), Rh at (0.000, 0.000, 0.500) and Rh at (0.000, 0.500, 0.750).

As for the density of states at the Fermi level: 6.999 states/eV/cell. The electronic total energy comes out at -5.527 eV/atom.

# 11
Entry from Alexandria: an optimized crystal structure of MgAlRh2 (PBE-GGA).

The space group is F-43m (No. 216) and the conventional cell measures 6.216, 6.216 and 6.216 Å, with angles of 90.00, 90.00 and 90.00 degrees. The distinct sites, in fractional coordinates, are Mg at (0.000, 0.000, 0.000), Al at (0.250, 0.250, 0.750), Rh at (0.000, 0.000, 0.500) and Rh at (0.250, 0.250, 0.250).

As for the density of states at the Fermi level: 24.879 states/eV/cell. The electronic total energy comes out at -5.373 eV/atom.

# 12
Entry from Alexandria: an optimized crystal structure of MgAlRh2 (PBE-GGA).

The space group is R-3m (No. 166, hexagonal axes) and the conventional cell measures 2.9418, 2.9418 and 24.0551 Å, with angles of 90.00, 90.00 and 120.00 degrees. The distinct sites, in fractional coordinates, are Mg at (0.0000, 0.0000, 0.0000), Al at (0.0000, 0.0000, 0.5000) and Rh at (0.0000, 0.0000, 0.2444).

As for the density of states at the Fermi level: 2.690 states/eV/cell. The electronic total energy comes out at -5.568 eV/atom.

# 13
Entry from Alexandria: an optimized crystal structure of MgAl4Rh (PBE-GGA).

The space group is F-43m (No. 216) and the conventional cell measures 7.324, 7.324 and 7.324 Å, with angles of 90.00, 90.00 and 90.00 degrees. The distinct sites, in fractional coordinates, are Mg at (0.000, 0.000, 0.000), Al at (0.125, 0.125, 0.375) and Rh at (0.250, 0.250, 0.750).

As for the density of states at the Fermi level: 12.945 states/eV/cell. The electronic total energy comes out at -4.070 eV/atom. For the excess energy over the best structure of this formula in the dataset, the calculation gives 354 meV per atom.

# 14
Entry from Alexandria: an optimized crystal structure of Mg3AlRh (PBE-GGA).

The space group is Pm-3m (No. 221) and the conventional cell measures 4.962, 4.962 and 4.962 Å, with angles of 90.00, 90.00 and 90.00 degrees. The distinct sites, in fractional coordinates, are Mg at (0.000, 0.000, 0.500), Al at (0.000, 0.000, 0.000) and Rh at (0.500, 0.500, 0.500).

As for the density of states at the Fermi level: 4.544 states/eV/cell. The electronic total energy comes out at -2.387 eV/atom. For the excess energy over the best structure of this formula in the dataset, the calculation gives 666 meV per atom.

# 15
Entry from Alexandria: an optimized crystal structure of MgAlRh2 (PBE-GGA).

The space group is I-42d (No. 122) and the conventional cell measures 6.748, 6.748 and 5.693 Å, with angles of 90.00, 90.00 and 90.00 degrees. The distinct sites, in fractional coordinates, are Mg at (0.000, 0.000, 0.000), Al at (0.000, 0.000, 0.500) and Rh at (0.222, 0.250, 0.625).

As for the density of states at the Fermi level: 11.414 states/eV/cell. The electronic total energy comes out at -5.273 eV/atom.

# 16
Entry from Alexandria: an optimized crystal structure of MgAlRh (PBE-GGA).

The space group is P3m1 (No. 156) and the conventional cell measures 4.2849, 4.2849 and 3.0358 Å, with angles of 90.00, 90.00 and 120.00 degrees. The distinct sites, in fractional coordinates, are Mg at (0.0000, 0.0000, 0.0000), Al at (0.3333, 0.6667, 0.4986) and Rh at (0.6667, 0.3333, 0.5012).

As for the density of states at the Fermi level: 1.185 states/eV/cell. The electronic total energy comes out at -4.797 eV/atom.

# 17
Entry from Alexandria: an optimized crystal structure of MgAlRh2 (PBE-GGA).

The space group is Cm (No. 8) and the conventional cell measures 9.434, 2.936 and 4.412 Å, with angles of 90.00, 106.19 and 90.00 degrees. The distinct sites, in fractional coordinates, are Mg at (0.000, 0.000, 0.000), Al at (0.226, 0.000, 0.616), Rh at (0.246, 0.500, 0.122) and Rh at (0.490, 0.000, 0.504).

As for the density of states at the Fermi level: 6.330 states/eV/cell. The electronic total energy comes out at -5.658 eV/atom.

# 18
Entry from Alexandria: an optimized crystal structure of MgAlRh (PBE-GGA).

The space group is Pnma (No. 62) and the conventional cell measures 6.801, 4.301 and 6.893 Å, with angles of 90.00, 90.00 and 90.00 degrees. The distinct sites, in fractional coordinates, are Mg at (0.008, 0.250, 0.185), Al at (0.197, 0.250, 0.612) and Rh at (0.164, 0.750, 0.441).

As for the density of states at the Fermi level: 4.300 states/eV/cell. The electronic total energy comes out at -4.840 eV/atom.

# 19
Entry from Alexandria: an optimized crystal structure of Mg2Al3Rh (PBE-GGA).

The space group is C2/m (No. 12) and the conventional cell measures 8.910, 5.310 and 5.167 Å, with angles of 90.00, 123.59 and 90.00 degrees. The distinct sites, in fractional coordinates, are Mg at (0.128, 0.000, 0.371), Al at (0.000, 0.500, 0.500), Al at (0.250, 0.250, 0.000) and Rh at (0.000, 0.500, 0.000).

As for the density of states at the Fermi level: 3.949 states/eV/cell. The electronic total energy comes out at -4.059 eV/atom.

# 20
Entry from Alexandria: an optimized crystal structure of MgAl4Rh5 (PBE-GGA).

The space group is P4/mmm (No. 123) and the conventional cell measures 3.012, 3.012 and 15.232 Å, with angles of 90.00, 90.00 and 90.00 degrees. The distinct sites, in fractional coordinates, are Mg at (0.000, 0.000, 0.000), Al at (0.000, 0.000, 0.201), Al at (0.000, 0.000, 0.401), Rh at (0.500, 0.500, 0.110), Rh at (0.500, 0.500, 0.304) and Rh at (0.500, 0.500, 0.500).

As for the density of states at the Fermi level: 1.161 states/eV/cell. The electronic total energy comes out at -6.352 eV/atom.

# 21
Entry from Alexandria: an optimized crystal structure of MgAl11Rh (PBE-GGA).

The space group is C2/m (No. 12) and the conventional cell measures 5.170, 12.789 and 7.078 Å, with angles of 90.00, 108.65 and 90.00 degrees. The distinct sites, in fractional coordinates, are Mg at (0.000, 0.000, 0.000), Al at (0.000, 0.000, 0.500), Al at (0.107, 0.393, 0.221), Al at (0.177, 0.174, 0.358), Al at (0.250, 0.250, 0.000) and Rh at (0.000, 0.500, 0.500).

As for the density of states at the Fermi level: 10.284 states/eV/cell. The electronic total energy comes out at -3.981 eV/atom.

# 22
Entry from Alexandria: an optimized crystal structure of MgAlRh2 (PBE-GGA).

The space group is Imm2 (No. 44) and the conventional cell measures 3.017, 4.226 and 9.258 Å, with angles of 90.00, 90.00 and 90.00 degrees. The distinct sites, in fractional coordinates, are Mg at (0.000, 0.000, 0.000), Al at (0.000, 0.500, 0.228), Rh at (0.000, 0.000, 0.505) and Rh at (0.000, 0.500, 0.753).

As for the density of states at the Fermi level: 7.138 states/eV/cell. The electronic total energy comes out at -5.606 eV/atom.

# 23
Entry from Alexandria: an optimized crystal structure of MgAlRh2 (PBE-GGA).

The space group is Pmm2 (No. 25) and the conventional cell measures 2.842, 3.942 and 5.328 Å, with angles of 90.00, 90.00 and 90.00 degrees. The distinct sites, in fractional coordinates, are Mg at (0.000, 0.000, 0.000), Al at (0.500, 0.500, 0.689), Rh at (0.000, 0.000, 0.506) and Rh at (0.500, 0.500, 0.200).

As for the density of states at the Fermi level: 2.752 states/eV/cell. The electronic total energy comes out at -5.501 eV/atom.

# 24
Entry from Alexandria: an optimized crystal structure of MgAl5Rh6 (PBE-GGA).

The space group is Immm (No. 71) and the conventional cell measures 4.261, 6.025 and 12.814 Å, with angles of 90.00, 90.00 and 90.00 degrees. The distinct sites, in fractional coordinates, are Mg at (0.000, 0.000, 0.000), Al at (0.000, 0.000, 0.333), Al at (0.000, 0.500, 0.000), Al at (0.000, 0.500, 0.336), Rh at (0.000, 0.242, 0.500) and Rh at (0.000, 0.254, 0.170).

As for the density of states at the Fermi level: 5.384 states/eV/cell. The electronic total energy comes out at -6.411 eV/atom.